# 1
Entry from the Alexandria database: a relaxed Rb4H5Pd crystal (PBE).

Structure (extended XYZ):
```
10
Lattice="-3.5649 -2.7502 -3.9611 1.8966 -6.4498 -1.7682 -5.2318 -3.6790 2.7234" Properties=species:S:1:pos:R:3 pbc="T T T"
H 0.5485 -5.6234 -1.1827
H -7.4909 -7.2883 -1.8703
H -3.0790 -8.9066 -0.1778
H -1.2604 -0.9723 -1.4005
H -3.8634 -4.0051 -2.8751
Pd -0.1536 -0.1185 -0.1707
Rb -2.6813 -3.0970 -0.1801
Rb -4.3790 -9.9056 -3.0038
Rb -1.9290 -6.2227 -3.2264
Rb -5.1313 -6.7799 0.0424
```

Results
energy	-2.667	eV/atom

***

# 2
Entry from the Alexandria database: a relaxed Rb3H4Pd2 crystal (PBE).

Structure (extended XYZ):
```
18
Lattice="6.2227 -0.5144 0.1715 0.0334 8.1276 0.8908 -0.9180 -0.9886 8.0643" Properties=species:S:1:pos:R:3 pbc="T T T"
H 1.4585 3.4552 2.5240
H 5.6232 5.6418 1.2331
H 1.8385 -0.5526 6.2240
H 3.8798 3.1694 6.6026
H 0.9760 5.4158 4.9516
H -0.2849 0.9828 7.8935
H 3.4998 7.1771 2.9026
H 4.3622 1.2088 4.1751
Rb 1.6414 4.8686 8.5815
Rb 4.3326 4.2170 3.7930
Rb 3.6968 1.7560 0.5452
Rb 0.3661 -0.0883 2.1130
Rb 4.9721 6.7129 7.0136
Rb 1.0056 2.4075 5.3336
Pd 4.6145 3.4905 8.0738
Pd 0.7237 3.1341 1.0528
Pd 3.5302 -0.0447 3.4375
Pd 1.8080 6.6692 5.6891
```

Results
E above lowest polymorph	117	meV per atom

***

# 3
Entry from the Alexandria database: a relaxed RbH2Pd2 crystal (PBE).

Structure (extended XYZ):
```
10
Lattice="-4.4857 3.8242 -0.6726 -3.7481 -3.9960 2.2764 4.8842 1.7095 3.3116" Properties=species:S:1:pos:R:3 pbc="T T T"
H 0.4361 0.9228 2.3381
H -2.1904 2.0231 -0.0550
H -3.7857 0.6148 2.5773
H -1.5280 3.4246 3.4958
Rb -1.4904 -1.1862 3.1949
Rb 0.0000 0.0000 0.0000
Pd -0.5459 2.1737 2.9169
Pd -4.8621 -0.6790 2.3993
Pd -2.9880 1.3190 1.2611
Pd 1.6969 0.2616 3.2533
```

Results
E above lowest polymorph	29	meV per atom